An optimized crystal structure of HoTiTc, computed with PBE.

Structure (POSCAR):
```
HoTiTc
1.0
3.3041 0.0000 0.0000
0.0000 3.3041 0.0000
-1.6520 -1.6520 5.4520
Ti Ho Tc
1 1 1
Cartesian
0.0000 0.0000 3.2376
0.0000 0.0000 0.1487
1.6520 1.6520 2.0657
```

Properties
For the formation energy, the calculation gives -0.161 eV per atom. Its raw total energy is -23.3 eV per formula unit. The value obtained for the relative energy among the computed polymorphs is 0 meV/atom. Its density is 8.67 g/cm³. The density of states at the Fermi level is 1.807 states/eV/cell.

=====

An optimized crystal structure of CeAl2Hg, computed with PBE.

Structure (POSCAR):
```
CeAl2Hg
1.0
-0.9991 -3.4538 3.4185
-2.9112 -3.8514 -1.1420
1.9480 -4.5431 -0.4206
Hg Ce Al
1 1 2
Cartesian
0.0000 0.0000 0.0000
-0.9811 -5.9241 0.9280
-0.4908 -2.9619 0.4641
-1.4715 -8.8864 1.3919
```

Properties
For the formation energy, the calculation gives -0.106 eV per atom. Its raw total energy is -14.1 eV per formula unit. The value obtained for the relative energy among the computed polymorphs is 142 meV/atom. Its density is 7.59 g/cm³. The density of states at the Fermi level is 2.614 states/eV/cell.

=====

An optimized crystal structure of CaRe, computed with PBE.

Structure (POSCAR):
```
CaRe
1.0
-6.0043 -0.7077 -7.2804
3.5420 -0.7276 8.7454
-1.2383 2.8810 0.7412
Re Ca
2 2
Cartesian
-4.8612 1.4487 -3.2465
1.1606 -0.0030 5.4527
-3.1089 1.4451 -0.3049
-0.5917 0.0006 2.5110
```

Properties
For the formation energy, the calculation gives 0.317 eV per atom. Its raw total energy is -13.8 eV per formula unit. The value obtained for the relative energy among the computed polymorphs is 15 meV/atom. Its density is 7.80 g/cm³. The density of states at the Fermi level is 4.242 states/eV/cell.